one:
A geometry-optimized BIrNO structure, computed with PBE.

Geometry as POSCAR:
```
BIrNO
1.0
1.9921 1.4970 -0.8073
1.4244 0.6180 4.6608
3.1982 -4.4638 -0.3855
B Ir N O
2 2 2 2
Cartesian
2.0818 -1.5105 2.3360 B
1.9292 -2.6006 -0.0618 B
2.5355 0.9988 3.8594 Ir
4.5650 -3.1368 1.1985 Ir
2.3515 -1.0314 3.8899 N
2.5947 -2.6739 1.4443 N
2.5862 -0.3386 1.5045 O
4.5541 -1.7821 3.6836 O
```

The total magnetization is 0.1 μB/cell. As for the mass density: 10.9 g/cm³.

two:
A geometry-optimized BIrNO structure, computed with PBE.

Geometry as POSCAR:
```
BIrNO
1.0
1.3118 2.2826 0.2426
-0.9147 0.0459 4.5134
4.8898 -2.9187 1.0207
B Ir N O
2 2 2 2
Cartesian
0.3484 0.8280 4.7310 B
4.4931 -1.3959 3.2440 B
1.5283 -1.1728 2.7708 Ir
2.8655 -1.7210 0.6978 Ir
0.4046 -0.7010 4.4076 N
3.2615 -2.1563 2.6518 N
0.7973 0.8967 1.6577 O
4.3611 -1.4805 4.7537 O
```

The total magnetization is 0.0 μB/cell. As for the mass density: 11.0 g/cm³.

Most stable: two. Least stable: one.

one:
A geometry-optimized NaNbBIr structure, computed with PBE.

Geometry as POSCAR:
```
NaNbBIr
1.0
1.5370 -3.9892 0.1442
-2.6047 -3.2632 0.9294
-1.0693 -2.8151 -3.0378
B Ir Na Nb
1 1 1 1
Cartesian
0.0000 0.0000 0.0000 B
-0.5343 -2.5169 -0.4911 Ir
-1.6028 -7.5506 -1.4732 Na
-1.0685 -5.0337 -0.9821 Nb
```

The total magnetization is 0.0 μB/cell. As for the mass density: 9.6 g/cm³.

two:
A geometry-optimized NaNbBIr structure, computed with PBE.

Geometry as POSCAR:
```
NaNbBIr
1.0
-2.3555 -3.6306 -0.4300
-4.2975 0.2564 -0.6167
-1.7084 -1.0391 -3.8622
B Ir Na Nb
1 1 1 1
Cartesian
-4.1807 -2.2066 -2.4545 B
0.0000 0.0000 0.0000 Ir
-6.2711 -3.3100 -3.6817 Na
-2.0904 -1.1033 -1.2272 Nb
```

The total magnetization is 0.0 μB/cell. As for the mass density: 9.1 g/cm³.

Most stable: one. Least stable: two.

one:
A geometry-optimized NbB4Ir structure, computed with PBE.

Geometry as POSCAR:
```
NbB4Ir
1.0
4.5957 -0.8729 0.0137
0.4359 -2.3628 4.0137
-1.9431 -0.2709 -4.2466
B Ir Nb
4 1 1
Cartesian
2.0504 -1.1374 -0.4079 B
0.0958 -1.9629 1.6924 B
2.9927 -1.5437 -1.9116 B
1.0380 -2.3692 0.1887 B
0.0000 0.0000 0.0000 Ir
2.5158 -1.6179 2.0137 Nb
```

The total magnetization is 0.0 μB/cell. As for the mass density: 9.7 g/cm³.

two:
A geometry-optimized NbB4Ir structure, computed with PBE.

Geometry as POSCAR:
```
NbB4Ir
1.0
-0.7476 -2.9359 0.7121
2.9309 0.7186 -0.7607
1.3517 1.1923 6.3345
B Ir Nb
4 1 1
Cartesian
0.8104 -1.4250 1.7765 B
2.0366 -0.2068 1.2856 B
1.4984 -0.8182 5.0003 B
2.7246 0.4000 4.5094 B
0.0000 0.0000 0.0000 Ir
0.6759 0.5961 3.1672 Nb
```

The total magnetization is 0.0 μB/cell. As for the mass density: 9.9 g/cm³.

Most stable: two. Least stable: one.

one:
A geometry-optimized NbNiBIr structure, computed with PBE.

Geometry as POSCAR:
```
NbNiBIr
1.0
0.0000 2.9724 2.9724
2.9724 0.0000 2.9724
2.9724 2.9724 0.0000
B Ir Nb Ni
1 1 1 1
Cartesian
0.0000 0.0000 0.0000 B
2.9724 2.9724 2.9724 Ir
1.4862 1.4862 1.4862 Nb
4.4585 4.4585 4.4585 Ni
```

The total magnetization is 0.0 μB/cell. As for the mass density: 11.2 g/cm³.

two:
A geometry-optimized NbNiBIr structure, computed with PBE.

Geometry as POSCAR:
```
NbNiBIr
1.0
0.0000 2.9093 2.9093
2.9093 0.0000 2.9093
2.9093 2.9093 0.0000
B Ir Nb Ni
1 1 1 1
Cartesian
0.0000 0.0000 0.0000 B
1.4547 1.4547 1.4547 Ir
4.3640 4.3640 4.3640 Nb
2.9093 2.9093 2.9093 Ni
```

The total magnetization is 0.0 μB/cell. As for the mass density: 12.0 g/cm³.

Most stable: two. Least stable: one.

one:
A geometry-optimized NdBIr structure, computed with PBE.

Geometry as POSCAR:
```
NdBIr
1.0
3.3907 -1.5088 2.0729
-0.3071 -3.5988 2.2415
1.9323 -3.5294 -1.3710
B Ir Nd
1 1 1
Cartesian
0.0000 0.0000 0.0000 B
1.2540 -2.1592 0.7358 Ir
3.7619 -6.4777 2.2075 Nd
```

The total magnetization is 0.0 μB/cell. As for the mass density: 10.6 g/cm³.

two:
A geometry-optimized NdBIr structure, computed with PBE.

Geometry as POSCAR:
```
NdBIr
1.0
-3.6217 -1.8360 1.7475
-0.3357 -0.4902 4.3805
-2.8518 2.4831 2.2899
B Ir Nd
1 1 1
Cartesian
-5.1070 0.1176 6.3134 B
0.0000 0.0000 0.0000 Ir
-1.7023 0.0392 2.1044 Nd
```

The total magnetization is 0.0 μB/cell. As for the mass density: 9.4 g/cm³.

Most stable: one. Least stable: two.

one:
A geometry-optimized NiB4Ir structure, computed with PBE.

Geometry as POSCAR:
```
NiB4Ir
1.0
3.3791 1.5617 2.3291
0.2428 3.6492 -2.4304
-2.7016 -1.9316 2.8728
B Ir Ni
4 1 1
Cartesian
1.0951 1.1207 1.7351 B
-0.3939 2.2783 -0.6469 B
1.3143 1.0010 3.4185 B
-0.1747 2.1586 1.0365 B
0.0000 0.0000 0.0000 Ir
1.8110 2.6054 -0.0506 Ni
```

The total magnetization is 0.0 μB/cell. As for the mass density: 9.7 g/cm³.

two:
A geometry-optimized NiB4Ir structure, computed with PBE.

Geometry as POSCAR:
```
NiB4Ir
1.0
-2.1370 0.2694 -2.1280
2.3852 -1.8049 -0.4697
-3.2222 -4.9376 2.6108
B Ir Ni
4 1 1
Cartesian
-1.3900 -1.5872 -0.9591 B
0.1174 -2.2786 -0.4064 B
-3.0915 -4.1945 0.4195 B
-1.5841 -4.8859 0.9722 B
-1.6111 -2.4688 1.3054 Ir
0.0000 0.0000 0.0000 Ni
```

The total magnetization is 0.0 μB/cell. As for the mass density: 9.5 g/cm³.

Most stable: one. Least stable: two.

one:
A geometry-optimized NiBIrPt structure, computed with PBE.

Geometry as POSCAR:
```
NiBIrPt
1.0
0.0000 2.9356 2.9356
2.9356 0.0000 2.9356
2.9356 2.9356 0.0000
B Ir Ni Pt
1 1 1 1
Cartesian
0.0000 0.0000 0.0000 B
2.9356 2.9356 2.9356 Ir
4.4034 4.4034 4.4034 Ni
1.4678 1.4678 1.4678 Pt
```

The total magnetization is 0.2 μB/cell. As for the mass density: 15.0 g/cm³.

two:
A geometry-optimized NiBIrPt structure, computed with PBE.

Geometry as POSCAR:
```
NiBIrPt
1.0
4.0214 -0.3588 0.4808
1.4941 -1.9523 3.2385
1.7867 -3.6237 -0.4565
B Ir Ni Pt
1 1 1 1
Cartesian
0.0000 0.0000 0.0000 B
5.4767 -4.4511 2.4471 Ir
3.6511 -2.9674 1.6314 Ni
1.8256 -1.4837 0.8157 Pt
```

The total magnetization is 0.5 μB/cell. As for the mass density: 16.0 g/cm³.

Most stable: two. Least stable: one.

one:
A geometry-optimized ScNiBIr structure, computed with PBE.

Geometry as POSCAR:
```
ScNiBIr
1.0
0.0000 2.9872 2.9872
2.9872 0.0000 2.9872
2.9872 2.9872 0.0000
B Ir Ni Sc
1 1 1 1
Cartesian
0.0000 0.0000 0.0000 B
2.9872 2.9872 2.9872 Ir
4.4808 4.4808 4.4808 Ni
1.4936 1.4936 1.4936 Sc
```

The total magnetization is 0.0 μB/cell. As for the mass density: 9.6 g/cm³.

two:
A geometry-optimized ScNiBIr structure, computed with PBE.

Geometry as POSCAR:
```
ScNiBIr
1.0
3.0594 1.4247 2.4061
-0.7772 2.9376 2.8188
0.0664 -0.9330 4.0378
B Ir Ni Sc
1 1 1 1
Cartesian
0.0000 0.0000 0.0000 B
0.5872 0.8573 2.3157 Ir
1.1743 1.7146 4.6313 Ni
1.7615 2.5719 6.9470 Sc
```

The total magnetization is 0.0 μB/cell. As for the mass density: 10.1 g/cm³.

Most stable: two. Least stable: one.